No. 1
First-principles (GGA-PBE) data for a geometry-optimized Be4Ag3 structure, as listed in Alexandria.

Computed properties:
Energy of formation ... 145.2 meV per atom
Total magnetic moment ... 0.000 μB per formula unit

Cell and atoms, written as POSCAR:
```
Be4Ag3
1.0
-1.432 1.432 10.409
1.432 -1.432 10.409
1.432 1.432 -10.409
Be Ag
4 3
Cartesian
0.000 0.000 8.871 Be
0.000 0.000 18.212 Be
0.000 0.000 2.606 Be
0.000 0.000 11.947 Be
0.000 0.000 0.000 Ag
0.000 0.000 6.308 Ag
0.000 0.000 14.510 Ag
```

No. 2
First-principles (GGA-PBE) data for a geometry-optimized BeAg2 structure, as listed in Alexandria.

Computed properties:
Energy of formation ... 380.8 meV per atom
Total magnetic moment ... 0.000 μB per formula unit

Cell and atoms, written as POSCAR:
```
BeAg2
1.0
-3.744 2.417 3.609
-1.009 -5.119 2.382
4.225 0.920 3.767
Ag Be
8 4
Cartesian
0.258 -1.957 7.557 Ag
-1.864 1.557 4.713 Ag
-1.666 -1.456 5.226 Ag
-0.785 0.176 2.201 Ag
1.337 -3.338 5.045 Ag
-0.587 -2.837 2.714 Ag
1.138 -0.325 4.532 Ag
0.059 1.056 7.044 Ag
0.000 0.000 0.000 Be
0.240 1.669 3.688 Be
-2.377 -1.351 2.995 Be
1.608 -2.099 3.074 Be
```

No. 3
First-principles (GGA-PBE) data for a geometry-optimized Be2Ag structure, as listed in Alexandria.

Computed properties:
Energy of formation ... 209.0 meV per atom
Total magnetic moment ... 0.000 μB per formula unit

Cell and atoms, written as POSCAR:
```
Be2Ag
1.0
-10.411 -0.585 5.336
-8.445 -4.975 6.415
10.423 3.729 -3.829
Ag Be
4 8
Cartesian
-2.254 -1.580 3.314 Ag
-1.471 -0.434 0.916 Ag
-17.385 -5.126 10.834 Ag
-5.195 -2.447 5.147 Ag
-14.152 -4.173 8.819 Be
-3.459 0.550 2.913 Be
-4.704 -1.387 2.931 Be
-8.428 -3.400 7.161 Be
-8.179 -2.412 5.097 Be
-10.677 -3.148 6.654 Be
0.979 -0.626 1.299 Be
-5.957 -0.187 4.469 Be
```

No. 4
First-principles (GGA-PBE) data for a geometry-optimized BeAg2 structure, as listed in Alexandria.

Computed properties:
Energy of formation ... 206.1 meV per atom
Total magnetic moment ... 0.000 μB per formula unit

Cell and atoms, written as POSCAR:
```
BeAg2
1.0
-2.417 3.864 5.123
-2.079 -4.300 -4.919
0.314 -2.343 1.915
Ag Be
4 2
Cartesian
-2.091 -1.389 1.059 Ag
0.000 0.000 0.000 Ag
-1.985 -3.961 -2.105 Ag
-2.197 1.183 4.223 Ag
-2.302 1.088 1.708 Be
-2.194 -1.524 -1.505 Be
```

No. 5
First-principles (GGA-PBE) data for a geometry-optimized BeAg5 structure, as listed in Alexandria.

Computed properties:
Energy of formation ... 71.8 meV per atom
Total magnetic moment ... 0.000 μB per formula unit

Cell and atoms, written as POSCAR:
```
BeAg5
1.0
-1.847 0.736 -2.121
-2.086 -1.579 1.269
-3.294 9.228 6.069
Ag Be
5 1
Cartesian
-0.427 1.197 0.787 Ag
-3.007 2.495 1.491 Ag
-4.219 5.890 3.724 Ag
-2.867 8.031 5.282 Ag
-1.647 4.614 3.034 Ag
-1.966 -0.421 -0.426 Be
```

No. 6
First-principles (GGA-PBE) data for a geometry-optimized Be2Ag structure, as listed in Alexandria.

Computed properties:
Energy of formation ... 124.7 meV per atom
Total magnetic moment ... 0.000 μB per formula unit

Cell and atoms, written as POSCAR:
```
Be2Ag
1.0
1.609 4.277 0.978
-1.765 -1.244 -4.144
-3.486 1.044 1.172
Be Ag
4 2
Cartesian
-1.666 1.079 -2.799 Be
-3.364 0.728 -1.302 Be
-0.279 3.349 -0.693 Be
-1.977 2.998 0.804 Be
-2.734 3.098 -1.539 Ag
-0.909 0.978 -0.456 Ag
```

- Which formula does entry 4 have?
  BeAg2

- energy of formation of number 4 (BeAg2)?
  206.1 meV per atom

- Which of these has the lowest energy of formation?
  BeAg5